Entry 1:
This record from Alexandria via LeMat-Bulk describes a relaxed NaCu2Si crystal. The functional is PBE.

The structure in POSCAR format:
```
NaCu2Si
1.0
-3.184 2.018 -1.639
-3.783 -0.557 1.509
-1.573 4.356 3.263
Na Si Cu
1 1 2
direct
0.500 0.500 0.500
0.000 0.000 0.000
0.316 0.316 0.052
0.684 0.684 0.948
```

Values from the calculation:
VASP energy	-3.780	eV/atom
space-group type	R-3m, No. 166
V	75	Å³/f.u.
formation energy from raw total energies	-0.05	eV/atom


Entry 2:
This record from Alexandria via LeMat-Bulk describes a relaxed NaCuSi2 crystal. The functional is PBE.

The structure in POSCAR format:
```
NaCuSi2
1.0
2.954 0.000 0.000
1.477 2.559 0.000
1.477 0.853 8.661
Na Si Cu
1 2 1
direct
0.500 0.500 0.500
0.737 0.737 0.790
0.263 0.263 0.210
0.000 0.000 0.000
```

Values from the calculation:
offset from the most stable computed form	0.0	kJ/mol of atoms
VASP energy	-3.802	eV/atom
space-group type	R-3m, No. 166
V	65	Å³/f.u.
formation energy from raw total energies	0.26	eV/atom


Entry 3:
This record from Alexandria via LeMat-Bulk describes a relaxed NaCu2Si crystal. The functional is PBE.

The structure in POSCAR format:
```
NaCu2Si
1.0
-2.838 0.530 2.971
1.360 -4.854 2.166
4.410 2.885 3.698
Na Cu Si
2 4 2
direct
0.500 0.892 0.000
0.000 0.108 0.500
0.000 0.602 0.689
0.500 0.398 0.811
0.000 0.602 0.311
0.500 0.398 0.189
0.500 0.630 0.500
0.000 0.370 0.000
```

Values from the calculation:
VASP energy	-3.772	eV/atom
space-group type	Pmmn, No. 59
V	73	Å³/f.u.
formation energy from raw total energies	-0.04	eV/atom


Entry 4:
This record from Alexandria via LeMat-Bulk describes a relaxed NaCu4Si crystal. The functional is PBE.

The structure in POSCAR format:
```
NaCu4Si
1.0
4.929 0.000 0.000
2.464 4.269 0.000
2.464 1.423 4.024
Na Si Cu
1 1 4
direct
0.000 0.000 0.000
0.250 0.250 0.250
0.625 0.625 0.126
0.625 0.126 0.625
0.625 0.625 0.625
0.126 0.625 0.625
```

Values from the calculation:
offset from the most stable computed form	5.1	kJ/mol of atoms
VASP energy	-3.698	eV/atom
space-group type	F-43m, No. 216
V	85	Å³/f.u.
formation energy from raw total energies	0.16	eV/atom


Entry 5:
This record from Alexandria via LeMat-Bulk describes a relaxed Na2Cu2Si crystal. The functional is PBE.

The structure in POSCAR format:
```
Na2Cu2Si
1.0
-0.684 5.627 -2.433
-5.961 -1.182 -1.058
-1.137 1.776 4.426
Na Si Cu
4 2 4
direct
0.178 0.678 0.500
0.678 0.822 0.500
0.822 0.322 0.500
0.322 0.178 0.500
0.000 0.000 0.000
0.500 0.500 0.000
0.353 0.853 0.000
0.853 0.647 0.000
0.647 0.147 0.000
0.147 0.353 0.000
```

Values from the calculation:
offset from the most stable computed form	13.8	kJ/mol of atoms
VASP energy	-3.117	eV/atom
space-group type	P4/mbm, No. 127
V	93	Å³/f.u.
formation energy from raw total energies	0.13	eV/atom


Entry 6:
This record from Alexandria via LeMat-Bulk describes a relaxed NaCu12Si6 crystal. The functional is PBE.

The structure in POSCAR format:
```
NaCu12Si6
1.0
6.719 -0.006 -0.008
-1.671 6.508 -0.008
-1.671 -2.152 6.142
Na Cu Si
1 12 6
direct
0.000 0.000 0.000
0.885 0.115 0.500
0.876 0.617 0.617
0.617 0.617 0.876
0.383 0.124 0.383
0.383 0.383 0.124
0.124 0.383 0.383
0.115 0.500 0.885
0.500 0.885 0.115
0.115 0.885 0.500
0.885 0.500 0.115
0.500 0.115 0.885
0.617 0.876 0.617
0.692 0.284 0.284
0.284 0.284 0.692
0.284 0.692 0.284
0.716 0.716 0.308
0.308 0.716 0.716
0.716 0.308 0.716
```

Values from the calculation:
VASP energy	-4.288	eV/atom
space-group type	R-3m, No. 166
V	268	Å³/f.u.
formation energy from raw total energies	0.08	eV/atom


Entry 7:
This record from Alexandria via LeMat-Bulk describes a relaxed NaCuSi2 crystal. The functional is PBE.

The structure in POSCAR format:
```
NaCuSi2
1.0
0.000 3.169 3.169
3.169 0.000 3.169
3.169 3.169 0.000
Na Si Cu
1 2 1
direct
0.000 0.000 0.000
0.250 0.250 0.250
0.750 0.750 0.750
0.500 0.500 0.500
```

Values from the calculation:
offset from the most stable computed form	16.5	kJ/mol of atoms
VASP energy	-3.631	eV/atom
space-group type	Fm-3m, No. 225
V	64	Å³/f.u.
formation energy from raw total energies	0.43	eV/atom


Entry 8:
This record from Alexandria via LeMat-Bulk describes a relaxed NaCuSiSn2 crystal. The functional is PBE.

The structure in POSCAR format:
```
NaCuSiSn2
1.0
-1.778 -4.349 2.551
4.422 -0.563 2.121
-1.578 3.049 4.098
Na Si Sn Cu
1 1 2 1
direct
0.000 0.000 0.000
0.000 0.500 0.000
0.000 0.000 0.500
0.500 0.000 0.000
0.500 0.500 0.500
```

Values from the calculation:
VASP energy	-2.561	eV/atom
space-group type	P4/mmm, No. 123
V	141	Å³/f.u.
formation energy from raw total energies	1.21	eV/atom